A plane-wave DFT calculation with PBE-GGA was carried out for a relaxed structure of ErPa3N6.

Cell: 6.7841 6.7841 3.6540 Å, 90.00 90.00 110.16°
Closest atoms and distances in Å follow each position.
Atoms (fractional coordinates):
Pa 0.0000 0.5000 0.5000  6 N 2.25-2.29
Pa 0.5000 0.0000 0.5000  6 N 2.25-2.29
Pa 0.5000 0.5000 0.0000  4 N 2.14
N 0.4271 0.1676 0.0000  3 Pa 2.14-2.29
N 0.8521 0.1479 0.5000  2 Pa 2.25, 2 Er 2.46
N 0.8324 0.5729 0.0000  3 Pa 2.14-2.29
N 0.1676 0.4271 0.0000  3 Pa 2.14-2.29
N 0.1479 0.8521 0.5000  2 Pa 2.25, 2 Er 2.46
N 0.5729 0.8324 0.0000  3 Pa 2.14-2.29
Er 0.0000 0.0000 0.0000  8 N 2.46-2.72

* magnetic moment: 0.0 Bohr magnetons per cell
* E: -9.7306 eV/atom